Below is an optimized crystal structure of NaTaAsO, with properties calculated at the GGA-PBE level.

Magnetic moment: 1.89 Bohr magnetons per cell
Total energy: -6.555 eV per atom

Lattice parameters (Å, degrees): 3.590 3.590 9.426 90.00 90.00 90.00
Space group P4/nmm (No. 129, origin choice 2)
One atom of each set of equivalent atoms:
Na (0.250, 0.750, 0.000)
Ta (0.250, 0.250, 0.370)
As (0.250, 0.250, 0.765)
O (0.250, 0.750, 0.500)